1.
# HfBe2Pt2

A relaxed structure of HfBe2Pt2 (GGA-PBEsol, Alexandria via LeMat-Bulk).

Cell lengths 3.3978, 3.3978, 6.5776 Å; angles 104.97, 104.97, 90.00 degrees
Last column: nearest neighbours and their distance in Å.
Fractional positions:
Be 0.2500 0.7500 0.5000  4 Pt 2.38, 4 Be 2.40
Be 0.7500 0.2500 0.5000  4 Pt 2.38, 4 Be 2.40
Hf 0.0000 0.0000 0.0000  8 Pt 2.78
Pt 0.3858 0.3858 0.7715  4 Be 2.38
Pt 0.6142 0.6142 0.2285  4 Be 2.38

energy of formation from the pure elements	-701	meV/atom
N(E_F)	1.80	states/eV/f.u.
space group	No. 139

***

2.
# HfBePt2

A relaxed structure of HfBePt2 (GGA-PBEsol, Alexandria via LeMat-Bulk).

Cell lengths 4.6214, 4.6214, 7.5879 Å; angles 107.73, 107.73, 90.00 degrees
Last column: nearest neighbours and their distance in Å.
Fractional positions:
Be 0.7500 0.2500 0.5000  4 Pt 2.18
Be 0.5000 0.5000 0.0000  4 Pt 2.18
Hf 0.2500 0.7500 0.5000  4 Pt 2.61
Hf 0.0000 0.0000 0.0000  4 Pt 2.61
Pt 0.4720 0.8750 0.2500  2 Be 2.18
Pt 0.7780 0.3750 0.2500  2 Be 2.18
Pt 0.1250 0.2220 0.7500  2 Be 2.18
Pt 0.6250 0.5280 0.7500  2 Be 2.18

energy of formation from the pure elements	-244	meV/atom
energy above the most stable polymorph in this dataset	513	meV/atom
N(E_F)	2.13	states/eV/f.u.
space group	No. 122